Record 1
! PBE-GGA Cs2BiIN, optimized geometry; values from VASP
! E_form (uncorrected) ... 40.42 kJ per mole of atoms
&SYSTEM
  ibrav = 0, nat = 5, ntyp = 4
/
ATOMIC_SPECIES
Cs 132.91 Cs.upf
Bi 208.98 Bi.upf
I 126.90 I.upf
N 14.01 N.upf
CELL_PARAMETERS angstrom
7.445 0.000 0.000
0.000 7.445 0.000
0.000 0.000 4.174
ATOMIC_POSITIONS crystal
Cs 0.000 0.500 0.000
Cs 0.500 0.000 0.000
Bi 0.000 0.000 0.500
I 0.500 0.500 0.000
N 0.500 0.500 0.500

=====

Record 2
! PBE-GGA Hf2SnRu3, optimized geometry; values from VASP
! DFT formation energy ... -0.62 eV per atom
&SYSTEM
  ibrav = 0, nat = 6, ntyp = 3
/
ATOMIC_SPECIES
Hf 178.49 Hf.upf
Sn 118.71 Sn.upf
Ru 101.07 Ru.upf
CELL_PARAMETERS angstrom
3.258 0.000 0.000
0.000 3.258 0.000
0.000 0.000 9.593
ATOMIC_POSITIONS crystal
Hf 0.000 0.000 0.169
Hf 0.000 0.000 0.831
Sn 0.000 0.000 0.500
Ru 0.500 0.500 0.000
Ru 0.500 0.500 0.333
Ru 0.500 0.500 0.667

=====

Record 3
! PBE-GGA TbScCu4, optimized geometry; values from VASP
! DFT formation energy ... -0.19 eV per atom
! Offset from the most stable computed form ... 0.0534 eV/atom
&SYSTEM
  ibrav = 0, nat = 6, ntyp = 3
/
ATOMIC_SPECIES
Tb 158.93 Tb.upf
Sc 44.96 Sc.upf
Cu 63.55 Cu.upf
CELL_PARAMETERS angstrom
0.000 3.654 3.654
3.654 0.000 3.654
3.654 3.654 0.000
ATOMIC_POSITIONS crystal
Tb 0.000 0.000 0.000
Sc 0.250 0.250 0.250
Cu 0.128 0.624 0.624
Cu 0.624 0.128 0.624
Cu 0.624 0.624 0.128
Cu 0.624 0.624 0.624

=====

Record 4
! PBE-GGA Pm2Nd3Se6, optimized geometry; values from VASP
! Offset from the most stable computed form ... 0.0000 eV/atom
! E_form (uncorrected) ... -182.38 kJ per mole of atoms
&SYSTEM
  ibrav = 0, nat = 11, ntyp = 3
/
ATOMIC_SPECIES
Pm 145.00 Pm.upf
Nd 144.24 Nd.upf
Se 78.96 Se.upf
CELL_PARAMETERS angstrom
3.649 -6.296 0.000
3.649 6.296 0.000
-2.423 0.000 6.829
ATOMIC_POSITIONS crystal
Pm 0.165 0.835 0.000
Pm 0.835 0.165 0.000
Nd 0.000 0.000 0.500
Nd 0.336 0.664 0.500
Nd 0.664 0.336 0.500
Se 0.087 0.418 0.754
Se 0.252 0.252 0.242
Se 0.418 0.087 0.754
Se 0.582 0.913 0.246
Se 0.748 0.748 0.758
Se 0.913 0.582 0.246

=====

Record 5
! PBE-GGA KSrYAl2, optimized geometry; values from VASP
! DFT formation energy ... 0.98 eV per atom
&SYSTEM
  ibrav = 0, nat = 5, ntyp = 4
/
ATOMIC_SPECIES
K 39.10 K.upf
Sr 87.62 Sr.upf
Y 88.91 Y.upf
Al 26.98 Al.upf
CELL_PARAMETERS angstrom
5.696 0.000 0.000
0.000 5.696 0.000
0.000 0.000 5.542
ATOMIC_POSITIONS crystal
K 0.000 0.000 0.000
Sr 0.000 0.000 0.500
Y 0.500 0.500 0.000
Al 0.000 0.500 0.500
Al 0.500 0.000 0.500

=====

Record 6
! PBE-GGA Cr, optimized geometry; values from VASP
! DFT formation energy ... 0.71 eV per atom
! Offset from the most stable computed form ... 0.7132 eV/atom
&SYSTEM
  ibrav = 0, nat = 1, ntyp = 1
/
ATOMIC_SPECIES
Cr 52.00 Cr.upf
CELL_PARAMETERS angstrom
1.337 -2.043 0.000
1.337 2.043 0.000
0.000 0.000 2.256
ATOMIC_POSITIONS crystal
Cr 0.000 0.000 0.000

=====

Number 1: magnetization 1.56 μB/f.u., V 46.3 Å³/atom. Number 2: magnetization 0.00 μB/f.u., V 17.0 Å³/atom. Number 3: magnetization 0.00 μB/f.u., V 16.3 Å³/atom. Number 4: magnetization 0.00 μB/f.u., V 28.5 Å³/atom. Number 5: magnetization 0.00 μB/f.u., V 36.0 Å³/atom. Number 6: magnetization 0.00 μB/f.u., V 12.3 Å³/atom.